Entry 1:
Crystalline GdTa7O19 at its relaxed geometry. Source: Alexandria via LeMat-Bulk, functional PBEsol.

Calculated values
E (eV per cell): -563.42
Uncorrected formation energy (kJ/mol of formula units): -7687

The structure in CIF format:
```
data_GdTa7O19
_chemical_formula_sum 'Gd2 Ta14 O38'
_cell_length_a 6.2058
_cell_length_b 6.2058
_cell_length_c 19.9480
_cell_angle_alpha 90.00
_cell_angle_beta 90.00
_cell_angle_gamma 120.00
_space_group_name_H-M_alt 'P -6 c 2'
_space_group_IT_number 188
_space_group_name_Hall 'P -6c 2'
loop_
_atom_site_label
_atom_site_type_symbol
_atom_site_fract_x
_atom_site_fract_y
_atom_site_fract_z
Gd1 Gd 0.0000 0.0000 0.0000
Ta1 Ta 0.3330 0.0285 0.1557
Ta2 Ta 0.6667 0.3333 0.0000
O1 O 0.0000 0.0000 0.1302
O2 O 0.0853 0.4189 0.6532
O3 O 0.2870 0.0437 0.2500
O4 O 0.3802 0.0972 0.0562
O5 O 0.6667 0.3333 0.1679
```

Entry 2:
Crystalline ZnCd2Ni at its relaxed geometry. Source: Alexandria via LeMat-Bulk, functional PBEsol.

Calculated values
Formation energy (eV per atom): -0.04
E (eV per cell): -10.31

The structure in CIF format:
```
data_ZnCd2Ni
_chemical_formula_sum 'Zn1 Cd2 Ni1'
_cell_length_a 3.0430
_cell_length_b 3.0430
_cell_length_c 6.8400
_cell_angle_alpha 90.00
_cell_angle_beta 90.00
_cell_angle_gamma 90.00
_space_group_name_H-M_alt 'P 4 m m'
_space_group_IT_number 99
_space_group_name_Hall 'P 4 -2'
loop_
_atom_site_label
_atom_site_type_symbol
_atom_site_fract_x
_atom_site_fract_y
_atom_site_fract_z
Zn1 Zn 0.0000 0.0000 0.0000
Cd1 Cd 0.0000 0.0000 0.5888
Cd2 Cd 0.5000 0.5000 0.2714
Ni1 Ni 0.5000 0.5000 0.8349
```

Entry 3:
Crystalline LaTiIr2 at its relaxed geometry. Source: Alexandria via LeMat-Bulk, functional PBEsol.

Calculated values
Formation energy (eV per atom): -0.30
E (eV per cell): -138.07

The structure in CIF format:
```
data_LaTiIr2
_chemical_formula_sum 'La4 Ti4 Ir8'
_cell_length_a 6.6398
_cell_length_b 6.6398
_cell_length_c 6.6398
_cell_angle_alpha 90.00
_cell_angle_beta 90.00
_cell_angle_gamma 90.00
_space_group_name_H-M_alt 'F m -3 m'
_space_group_IT_number 225
_space_group_name_Hall '-F 4 2 3'
loop_
_atom_site_label
_atom_site_type_symbol
_atom_site_fract_x
_atom_site_fract_y
_atom_site_fract_z
La1 La 0.0000 0.0000 0.0000
Ti1 Ti 0.0000 0.0000 0.5000
Ir1 Ir 0.2500 0.2500 0.2500
```

Entry 4:
Crystalline CuHg2Mo at its relaxed geometry. Source: Alexandria via LeMat-Bulk, functional PBEsol.

Calculated values
Formation energy (eV per atom): 0.49
E (eV per cell): -30.52

The structure in CIF format:
```
data_CuHg2Mo
_chemical_formula_sum 'Cu2 Hg4 Mo2'
_cell_length_a 2.7737
_cell_length_b 4.9223
_cell_length_c 10.0047
_cell_angle_alpha 90.00
_cell_angle_beta 90.00
_cell_angle_gamma 90.00
_space_group_name_H-M_alt 'I m m 2'
_space_group_IT_number 44
_space_group_name_Hall 'I 2 -2'
loop_
_atom_site_label
_atom_site_type_symbol
_atom_site_fract_x
_atom_site_fract_y
_atom_site_fract_z
Cu1 Cu 0.0000 0.0000 0.0000
Hg1 Hg 0.0000 0.0000 0.5159
Hg2 Hg 0.0000 0.5000 0.7406
Mo1 Mo 0.0000 0.5000 0.2786
```

Entry 5:
Crystalline ScRh3 at its relaxed geometry. Source: Alexandria via LeMat-Bulk, functional PBEsol.

Calculated values
Formation energy (eV per atom): -0.50
E (eV per cell): -66.07

The structure in CIF format:
```
data_ScRh3
_chemical_formula_sum 'Sc2 Rh6'
_cell_length_a 4.4340
_cell_length_b 5.5113
_cell_length_c 4.7845
_cell_angle_alpha 90.00
_cell_angle_beta 90.00
_cell_angle_gamma 90.00
_space_group_name_H-M_alt 'P m m n'
_space_group_IT_number 59
loop_
_space_group_symop_operation_xyz
'x,y,z'
'-x,-y,-z'
'-x+1/2,-y+1/2,z'
'x+1/2,y+1/2,-z'
'x+1/2,-y,-z'
'-x+1/2,y,z'
'-x,y+1/2,-z'
'x,-y+1/2,z'
loop_
_atom_site_label
_atom_site_type_symbol
_atom_site_fract_x
_atom_site_fract_y
_atom_site_fract_z
Sc1 Sc 0.2500 0.2500 0.1605
Rh1 Rh 0.2500 0.0019 0.6643
Rh2 Rh 0.2500 0.7500 0.1841
```

Entry 6:
Crystalline GeSbRuN2 at its relaxed geometry. Source: Alexandria via LeMat-Bulk, functional PBEsol.

Calculated values
E (eV per cell): -32.85
Uncorrected formation energy (kJ/mol of formula units): 373

The structure in CIF format:
```
data_GeSbRuN2
_chemical_formula_sum 'Ge1 Sb1 Ru1 N2'
_cell_length_a 3.8251
_cell_length_b 3.8251
_cell_length_c 5.5099
_cell_angle_alpha 90.00
_cell_angle_beta 90.00
_cell_angle_gamma 90.00
_space_group_name_H-M_alt 'P 4/m m m'
_space_group_IT_number 123
_space_group_name_Hall '-P 4 2'
loop_
_atom_site_label
_atom_site_type_symbol
_atom_site_fract_x
_atom_site_fract_y
_atom_site_fract_z
Ge1 Ge 0.0000 0.0000 0.0000
Sb1 Sb 0.5000 0.5000 0.0000
Ru1 Ru 0.5000 0.5000 0.5000
N1 N 0.0000 0.5000 0.5000
```

Entry 7:
Crystalline Li3InBi at its relaxed geometry. Source: Alexandria via LeMat-Bulk, functional PBEsol.

Calculated values
Formation energy (eV per atom): -0.05
E (eV per cell): -13.43

The structure in CIF format:
```
data_Li3InBi
_chemical_formula_sum 'Li3 In1 Bi1'
_cell_length_a 5.1961
_cell_length_b 5.1961
_cell_length_c 5.1961
_cell_angle_alpha 90.00
_cell_angle_beta 90.00
_cell_angle_gamma 90.00
_space_group_name_H-M_alt 'P m -3 m'
_space_group_IT_number 221
_space_group_name_Hall '-P 4 2 3'
loop_
_atom_site_label
_atom_site_type_symbol
_atom_site_fract_x
_atom_site_fract_y
_atom_site_fract_z
Li1 Li 0.0000 0.0000 0.5000
In1 In 0.5000 0.5000 0.5000
Bi1 Bi 0.0000 0.0000 0.0000
```

Entry 8:
Crystalline Mg2PBr at its relaxed geometry. Source: Alexandria via LeMat-Bulk, functional PBEsol.

Calculated values
Polymorph energy (0 for the lowest one) (eV/atom): 0.392
E (eV per cell): -26.28
Uncorrected formation energy (kJ/mol of formula units): -197

The structure in CIF format:
```
data_Mg2PBr
_chemical_formula_sum 'Mg4 P2 Br2'
_cell_length_a 3.9829
_cell_length_b 6.0479
_cell_length_c 7.3265
_cell_angle_alpha 90.00
_cell_angle_beta 90.00
_cell_angle_gamma 90.00
_space_group_name_H-M_alt 'C m m m'
_space_group_IT_number 65
_space_group_name_Hall '-C 2 2'
loop_
_atom_site_label
_atom_site_type_symbol
_atom_site_fract_x
_atom_site_fract_y
_atom_site_fract_z
Mg1 Mg 0.0000 0.0000 0.2045
P1 P 0.0000 0.5000 0.0000
Br1 Br 0.0000 0.5000 0.5000
```